[1]
Tl4AgBr2 | PBE-GGA | optimized geometry

a = 5.5819 Å, b = 5.5819 Å, c = 16.8941 Å
α = 90.00°, β = 90.00°, γ = 90.00°
Space group I4/mmm (No. 139)
Symmetry-distinct sites (fractional):
1 Tl 0.0000 0.0000 0.1725 (multiplicity 4)
2 Tl 0.0000 0.5000 0.0000 (multiplicity 4)
3 Ag 0.0000 0.0000 0.0000 (multiplicity 2)
4 Br 0.0000 0.0000 0.3607 (multiplicity 4)

Results
Its formation energy without anion corrections is -0.2590 eV/atom. As for the total magnetic moment: 0.0 μB per cell. For the total energy, the calculation gives -2.4964 eV per atom.

***

[2]
Pm7Nd3Er | PBE-GGA | optimized geometry

a = 6.6032 Å, b = 6.8444 Å, c = 8.8158 Å
α = 100.27°, β = 98.61°, γ = 96.31°
Space group P-1 (No. 2)
Symmetry-distinct sites (fractional):
1 Pm 0.0000 0.0000 0.0000 (multiplicity 1)
2 Pm 0.0654 0.7138 0.6450 (multiplicity 2)
3 Pm 0.2065 0.2293 0.7091 (multiplicity 2)
4 Pm 0.4860 0.7303 0.9224 (multiplicity 2)
5 Nd 0.3194 0.9374 0.3291 (multiplicity 2)
6 Nd 0.5000 0.5000 0.5000 (multiplicity 1)
7 Er 0.0000 0.5000 0.0000 (multiplicity 1)

Results
As for the total magnetic moment: 0.0 μB per cell. Its energy above the most stable polymorph in this dataset is 0.00 eV per formula unit. For the total energy, the calculation gives -4.6172 eV per atom.

***

[3]
AlZnRu2 | PBE-GGA | optimized geometry

a = 2.8102 Å, b = 2.8102 Å, c = 24.8044 Å
α = 90.00°, β = 90.00°, γ = 120.00°
Space group R-3m (No. 166, hexagonal axes)
Symmetry-distinct sites (fractional):
1 Al 0.0000 0.0000 0.0000 (multiplicity 3)
2 Zn 0.0000 0.0000 0.5000 (multiplicity 3)
3 Ru 0.0000 0.0000 0.2523 (multiplicity 6)

Results
As for the total magnetic moment: 0.0 μB per cell. For the total energy, the calculation gives -6.0560 eV per atom.

***

[4]
LiCe2InS5 | PBE-GGA | optimized geometry

a = 3.9758 Å, b = 17.0575 Å, c = 11.4918 Å
α = 90.00°, β = 90.00°, γ = 90.00°
Space group Cmc2_1 (No. 36)
Symmetry-distinct sites (fractional):
1 Li 0.0000 0.2239 0.0000 (multiplicity 4)
2 Ce 0.0000 0.1262 0.6654 (multiplicity 4)
3 Ce 0.0000 0.1268 0.2894 (multiplicity 4)
4 In 0.0000 0.4212 0.4567 (multiplicity 4)
5 S 0.0000 0.0355 0.0644 (multiplicity 4)
6 S 0.0000 0.3001 0.6414 (multiplicity 4)
7 S 0.0000 0.3029 0.3269 (multiplicity 4)
8 S 0.0000 0.3617 0.9824 (multiplicity 4)
9 S 0.0000 0.4941 0.2659 (multiplicity 4)

Results
Its formation energy without anion corrections is -1.4632 eV/atom. As for the total magnetic moment: 8.0 μB per cell. For the total energy, the calculation gives -5.5918 eV per atom.

***

[5]
Sm4SbPSe2 | PBE-GGA | optimized geometry

a = 7.3165 Å, b = 4.2274 Å, c = 7.4063 Å
α = 90.00°, β = 109.39°, γ = 90.00°
Space group P2/m (No. 10)
Symmetry-distinct sites (fractional):
1 Sm 0.2383 0.0000 0.2310 (multiplicity 2)
2 Sm 0.2491 0.5000 0.7671 (multiplicity 2)
3 Sb 0.0000 0.0000 0.5000 (multiplicity 1)
4 P 0.0000 0.5000 0.0000 (multiplicity 1)
5 Se 0.5000 0.0000 0.0000 (multiplicity 1)
6 Se 0.5000 0.5000 0.5000 (multiplicity 1)

Results
Its formation energy without anion corrections is -1.6175 eV/atom. As for the total magnetic moment: 0.0 μB per cell. For the total energy, the calculation gives -6.0397 eV per atom.

***

[6]
CdIn | PBE-GGA | optimized geometry

a = 11.4412 Å, b = 11.4412 Å, c = 3.1673 Å
α = 90.00°, β = 90.00°, γ = 90.00°
Space group P4/m (No. 83)
Symmetry-distinct sites (fractional):
1 Cd 0.0993 0.6292 0.0000 (multiplicity 4)
2 Cd 0.1314 0.3983 0.5000 (multiplicity 4)
3 In 0.1093 0.1620 0.0000 (multiplicity 4)
4 In 0.3360 0.6067 0.5000 (multiplicity 4)

Results
As for the total magnetic moment: 0.0 μB per cell. For the total energy, the calculation gives -1.7819 eV per atom.

***

[7]
Nd2TlAs | PBE-GGA | optimized geometry

a = 3.9043 Å, b = 3.9043 Å, c = 7.1088 Å
α = 90.00°, β = 90.00°, γ = 90.00°
Space group P4/mmm (No. 123)
Symmetry-distinct sites (fractional):
1 Nd 0.0000 0.0000 0.2292 (multiplicity 2)
2 Tl 0.5000 0.5000 0.5000 (multiplicity 1)
3 As 0.5000 0.5000 0.0000 (multiplicity 1)

Results
As for the total magnetic moment: 0.0 μB per cell. Its energy above the most stable polymorph in this dataset is 0.64 eV per formula unit. For the total energy, the calculation gives -4.8829 eV per atom.

***

[8]
MgIrW | PBE-GGA | optimized geometry

a = 4.4265 Å, b = 4.4265 Å, c = 2.8012 Å
α = 90.00°, β = 90.00°, γ = 120.00°
Space group P3m1 (No. 156)
Symmetry-distinct sites (fractional):
1 Mg 0.0000 0.0000 0.0000 (multiplicity 1)
2 Ir 0.6667 0.3333 0.6482 (multiplicity 1)
3 W 0.3333 0.6667 0.4147 (multiplicity 1)

Results
As for the total magnetic moment: 0.0 μB per cell. Its energy above the most stable polymorph in this dataset is 0.66 eV per formula unit. For the total energy, the calculation gives -7.7691 eV per atom.

***

[9]
BeRh5 | PBE-GGA | optimized geometry

a = 7.1357 Å, b = 7.1357 Å, c = 7.1357 Å
α = 90.00°, β = 90.00°, γ = 90.00°
Space group F-43m (No. 216)
Symmetry-distinct sites (fractional):
1 Be 0.0000 0.0000 0.0000 (multiplicity 4)
2 Rh 0.1252 0.1252 0.3748 (multiplicity 16)
3 Rh 0.2500 0.2500 0.7500 (multiplicity 4)

Results
As for the total magnetic moment: 13.0 μB per cell. Its energy above the most stable polymorph in this dataset is 4.03 eV per formula unit. For the total energy, the calculation gives -6.2525 eV per atom.

***

[10]
BaSr2CaIr | PBE-GGA | optimized geometry

a = 5.9776 Å, b = 5.9776 Å, c = 6.1540 Å
α = 90.00°, β = 90.00°, γ = 90.00°
Space group P4/mmm (No. 123)
Symmetry-distinct sites (fractional):
1 Ba 0.0000 0.0000 0.0000 (multiplicity 1)
2 Sr 0.0000 0.5000 0.5000 (multiplicity 2)
3 Ca 0.5000 0.5000 0.0000 (multiplicity 1)
4 Ir 0.0000 0.0000 0.5000 (multiplicity 1)

Results
As for the total magnetic moment: 0.0 μB per cell. Its energy above the most stable polymorph in this dataset is 0.19 eV per formula unit. For the total energy, the calculation gives -3.3005 eV per atom.

***

[11]
Dy8Ga2Ag3 | PBE-GGA | optimized geometry

a = 16.7561 Å, b = 8.0832 Å, c = 5.0253 Å
α = 90.00°, β = 92.01°, γ = 90.00°
Space group C2/m (No. 12)
Symmetry-distinct sites (fractional):
1 Dy 0.0569 0.0000 0.2417 (multiplicity 4)
2 Dy 0.1557 0.2079 0.7382 (multiplicity 8)
3 Dy 0.1575 0.5000 0.2278 (multiplicity 4)
4 Ga 0.2305 0.0000 0.2515 (multiplicity 4)
5 Ag 0.0000 0.3251 0.0000 (multiplicity 4)
6 Ag 0.0000 0.5000 0.5000 (multiplicity 2)

Results
As for the total magnetic moment: 0.0 μB per cell. For the total energy, the calculation gives -4.1267 eV per atom.

***

[12]
LaSc2Rh | PBE-GGA | optimized geometry

a = 5.6999 Å, b = 9.6497 Å, c = 3.2467 Å
α = 90.00°, β = 90.00°, γ = 90.00°
Space group Cmmm (No. 65)
Symmetry-distinct sites (fractional):
1 La 0.0000 0.0000 0.0000 (multiplicity 2)
2 Sc 0.2500 0.2500 0.5000 (multiplicity 4)
3 Rh 0.0000 0.5000 0.0000 (multiplicity 2)

Results
As for the total magnetic moment: 0.0 μB per cell. For the total energy, the calculation gives -6.3104 eV per atom.

***

[13]
CaTl2In | PBE-GGA | optimized geometry

a = 4.9133 Å, b = 4.9133 Å, c = 9.4207 Å
α = 90.00°, β = 90.00°, γ = 90.00°
Space group I4/mmm (No. 139)
Symmetry-distinct sites (fractional):
1 Ca 0.0000 0.0000 0.0000 (multiplicity 2)
2 Tl 0.0000 0.5000 0.2500 (multiplicity 4)
3 In 0.0000 0.0000 0.5000 (multiplicity 2)

Results
As for the total magnetic moment: 0.0 μB per cell. For the total energy, the calculation gives -2.6016 eV per atom.

***

[14]
HfMo2Rh | PBE-GGA | optimized geometry

a = 6.4162 Å, b = 6.4162 Å, c = 6.4162 Å
α = 90.00°, β = 90.00°, γ = 90.00°
Space group Fm-3m (No. 225)
Symmetry-distinct sites (fractional):
1 Hf 0.0000 0.0000 0.0000 (multiplicity 4)
2 Mo 0.2500 0.2500 0.2500 (multiplicity 8)
3 Rh 0.0000 0.0000 0.5000 (multiplicity 4)

Results
As for the total magnetic moment: 0.0 μB per cell. Its energy above the most stable polymorph in this dataset is 0.00 eV per formula unit. For the total energy, the calculation gives -9.6343 eV per atom.

***

[15]
RbAg2SbBr8 | PBE-GGA | optimized geometry

a = 6.9077 Å, b = 7.2305 Å, c = 9.6451 Å
α = 75.16°, β = 72.18°, γ = 88.44°
Space group P-1 (No. 2)
Symmetry-distinct sites (fractional):
1 Rb 0.0000 0.0000 0.0000 (multiplicity 1)
2 Ag 0.4762 0.3552 0.2068 (multiplicity 2)
3 Sb 0.0000 0.0000 0.5000 (multiplicity 1)
4 Br 0.2130 0.3316 0.4734 (multiplicity 2)
5 Br 0.2274 0.8051 0.6673 (multiplicity 2)
6 Br 0.2287 0.5214 0.0385 (multiplicity 2)
7 Br 0.2882 0.9508 0.2463 (multiplicity 2)

Results
Its formation energy without anion corrections is -0.5892 eV/atom. As for the total magnetic moment: 0.0 μB per cell. For the total energy, the calculation gives -2.6038 eV per atom.

***

[16]
SrY2Ta | PBE-GGA | optimized geometry

a = 7.0265 Å, b = 7.0265 Å, c = 15.6464 Å
α = 90.00°, β = 90.00°, γ = 90.00°
Space group I4_1/amd (No. 141, origin choice 2)
Symmetry-distinct sites (fractional):
1 Sr 0.0000 0.2500 0.3750 (multiplicity 4)
2 Y 0.0000 0.0000 0.0000 (multiplicity 8)
3 Ta 0.0000 0.2500 0.8750 (multiplicity 4)

Results
As for the total magnetic moment: 0.0 μB per cell. Its energy above the most stable polymorph in this dataset is 4.37 eV per formula unit. For the total energy, the calculation gives -5.1631 eV per atom.

***

[17]
LaDyTmSe3 | PBE-GGA | optimized geometry

a = 8.0040 Å, b = 4.1038 Å, c = 10.2415 Å
α = 90.00°, β = 104.13°, γ = 90.00°
Space group P2_1/m (No. 11)
Symmetry-distinct sites (fractional):
1 La 0.1885 0.2500 0.2125 (multiplicity 2)
2 Dy 0.3320 0.7500 0.9100 (multiplicity 2)
3 Tm 0.1671 0.2500 0.6223 (multiplicity 2)
4 Se 0.0883 0.2500 0.8866 (multiplicity 2)
5 Se 0.2052 0.7500 0.4473 (multiplicity 2)
6 Se 0.4851 0.7500 0.1978 (multiplicity 2)

Results
Its formation energy without anion corrections is -1.6594 eV/atom. As for the total magnetic moment: 0.0 μB per cell. For the total energy, the calculation gives -5.7351 eV per atom.

***

[18]
BaTlSeBr2 | PBE-GGA | optimized geometry

a = 6.2757 Å, b = 6.2757 Å, c = 6.3470 Å
α = 90.00°, β = 90.00°, γ = 90.00°
Space group P4/mmm (No. 123)
Symmetry-distinct sites (fractional):
1 Ba 0.0000 0.0000 0.0000 (multiplicity 1)
2 Tl 0.5000 0.5000 0.5000 (multiplicity 1)
3 Se 0.0000 0.0000 0.5000 (multiplicity 1)
4 Br 0.0000 0.5000 0.0000 (multiplicity 2)

Results
Its formation energy without anion corrections is -0.9763 eV/atom. As for the total magnetic moment: 1.0 μB per cell. Its energy above the most stable polymorph in this dataset is 0.40 eV per formula unit. For the total energy, the calculation gives -3.2002 eV per atom.

***

[19]
CaErLuIn | PBE-GGA | optimized geometry

a = 7.6873 Å, b = 7.6873 Å, c = 7.6873 Å
α = 90.00°, β = 90.00°, γ = 90.00°
Space group F-43m (No. 216)
Symmetry-distinct sites (fractional):
1 Ca 0.0000 0.0000 0.0000 (multiplicity 4)
2 Er 0.2500 0.2500 0.2500 (multiplicity 4)
3 Lu 0.2500 0.2500 0.7500 (multiplicity 4)
4 In 0.0000 0.0000 0.5000 (multiplicity 4)

Results
As for the total magnetic moment: 0.0 μB per cell. For the total energy, the calculation gives -3.5449 eV per atom.

***

[20]
PmCO3 | PBE-GGA | optimized geometry

a = 5.0297 Å, b = 5.0297 Å, c = 16.0614 Å
α = 90.00°, β = 90.00°, γ = 120.00°
Space group R-3m (No. 166, hexagonal axes)
Symmetry-distinct sites (fractional):
1 Pm 0.0000 0.0000 0.2337 (multiplicity 6)
2 C 0.0000 0.0000 0.4062 (multiplicity 6)
3 O 0.0287 0.5143 0.2444 (multiplicity 18)

Results
Its formation energy without anion corrections is -1.8953 eV/atom. As for the total magnetic moment: 0.0 μB per cell. For the total energy, the calculation gives -7.6652 eV per atom.

***

[21]
MgPt2Rh | PBE-GGA | optimized geometry

a = 3.9463 Å, b = 3.9463 Å, c = 7.8872 Å
α = 90.00°, β = 90.00°, γ = 90.00°
Space group I4/mmm (No. 139)
Symmetry-distinct sites (fractional):
1 Mg 0.0000 0.0000 0.0000 (multiplicity 2)
2 Pt 0.0000 0.5000 0.2500 (multiplicity 4)
3 Rh 0.0000 0.0000 0.5000 (multiplicity 2)

Results
As for the total magnetic moment: 0.8 μB per cell. For the total energy, the calculation gives -5.6930 eV per atom.

***

[22]
NiAs2P | PBE-GGA | optimized geometry

a = 2.9782 Å, b = 2.9782 Å, c = 24.8679 Å
α = 90.00°, β = 90.00°, γ = 120.00°
Space group R-3m (No. 166, hexagonal axes)
Symmetry-distinct sites (fractional):
1 Ni 0.0000 0.0000 0.0000 (multiplicity 3)
2 As 0.0000 0.0000 0.2624 (multiplicity 6)
3 P 0.0000 0.0000 0.5000 (multiplicity 3)

Results
As for the total magnetic moment: 0.0 μB per cell. For the total energy, the calculation gives -4.8342 eV per atom.

***

[23]
CaPm6Pr2Sm3 | PBE-GGA | optimized geometry

a = 6.3583 Å, b = 11.0193 Å, c = 12.1576 Å
α = 90.00°, β = 100.07°, γ = 90.00°
Space group C2/m (No. 12)
Symmetry-distinct sites (fractional):
1 Ca 0.0000 0.0000 0.0000 (multiplicity 2)
2 Pm 0.2458 0.3310 0.7458 (multiplicity 8)
3 Pm 0.2477 0.5000 0.2548 (multiplicity 4)
4 Pr 0.0000 0.3329 0.0000 (multiplicity 4)
5 Sm 0.0000 0.1658 0.5000 (multiplicity 4)
6 Sm 0.0000 0.5000 0.5000 (multiplicity 2)

Results
As for the total magnetic moment: 0.0 μB per cell. For the total energy, the calculation gives -4.4891 eV per atom.

***

[24]
RbLi2U3Se6 | PBE-GGA | optimized geometry

a = 19.5530 Å, b = 4.1112 Å, c = 9.5784 Å
α = 90.00°, β = 113.26°, γ = 90.00°
Space group C2/m (No. 12)
Symmetry-distinct sites (fractional):
1 Rb 0.0000 0.0000 0.0000 (multiplicity 2)
2 Li 0.1382 0.5000 0.4357 (multiplicity 4)
3 U 0.0000 0.0000 0.5000 (multiplicity 2)
4 U 0.1664 0.5000 0.8286 (multiplicity 4)
5 Se 0.0032 0.5000 0.7174 (multiplicity 4)
6 Se 0.1641 0.0000 0.6057 (multiplicity 4)
7 Se 0.1752 0.0000 0.0449 (multiplicity 4)

Results
Its formation energy without anion corrections is -1.1392 eV/atom. As for the total magnetic moment: 18.0 μB per cell. For the total energy, the calculation gives -6.1031 eV per atom.